[1]
Material: PmZnNiAu
Method: DFT, PBE
State: relaxed

a = 6.7381 Å, b = 6.7381 Å, c = 6.7381 Å
α = 90.00°, β = 90.00°, γ = 90.00°
With the nearest neighbours (Å) after each atom.
Element x y z (fractional)
Pm  0.0000  0.0000  0.0000  4 Ni 2.92, 4 Au 2.92
Pm  0.0000  0.5000  0.5000  4 Ni 2.92, 4 Au 2.92
Pm  0.5000  0.0000  0.5000  4 Ni 2.92, 4 Au 2.92
Pm  0.5000  0.5000  0.0000  4 Ni 2.92, 4 Au 2.92
Zn  0.0000  0.0000  0.5000  4 Au 2.92, 4 Ni 2.92
Zn  0.0000  0.5000  0.0000  4 Au 2.92, 4 Ni 2.92
Zn  0.5000  0.0000  0.0000  4 Au 2.92, 4 Ni 2.92
Zn  0.5000  0.5000  0.5000  4 Au 2.92, 4 Ni 2.92
Ni  0.2500  0.2500  0.7500  4 Zn 2.92, 4 Pm 2.92
Ni  0.2500  0.7500  0.2500  4 Zn 2.92, 4 Pm 2.92
Ni  0.7500  0.2500  0.2500  4 Zn 2.92, 4 Pm 2.92
Ni  0.7500  0.7500  0.7500  4 Zn 2.92, 4 Pm 2.92
Au  0.2500  0.2500  0.2500  4 Pm 2.92, 4 Zn 2.92
Au  0.2500  0.7500  0.7500  4 Pm 2.92, 4 Zn 2.92
Au  0.7500  0.2500  0.7500  4 Pm 2.92, 4 Zn 2.92
Au  0.7500  0.7500  0.2500  4 Pm 2.92, 4 Zn 2.92

Values from the calculation:
space group = No. 216
magnetization = 0.000 μB per cell
formation enthalpy at 0 K = -0.33 eV per atom
uncorrected energy = -16.4 eV per formula unit



[2]
Material: KLi2Au
Method: DFT, PBE
State: relaxed

a = 3.4751 Å, b = 5.7677 Å, c = 10.7946 Å
α = 90.00°, β = 90.00°, γ = 90.00°
With the nearest neighbours (Å) after each atom.
Element x y z (fractional)
K  0.0000  0.0000  0.0000  4 Au 3.37, 2 K 3.48, 4 Li 3.52
K  0.5000  0.5000  0.5000  4 Au 3.37, 2 K 3.48, 4 Li 3.52
Li  0.0000  0.5000  0.1877  2 Au 2.67
Li  0.0000  0.5000  0.8123  2 Au 2.67
Li  0.5000  0.0000  0.3123  2 Au 2.67
Li  0.5000  0.0000  0.6877  2 Au 2.67
Au  0.0000  0.0000  0.5000  4 Li 2.67
Au  0.5000  0.5000  0.0000  4 Li 2.67

Values from the calculation:
space group = No. 71
magnetization = 0.000 μB per cell
formation enthalpy at 0 K = -0.16 eV per atom
uncorrected energy = -8.8 eV per formula unit



[3]
Material: Pm4Nd3Tm5
Method: DFT, PBE
State: relaxed

a = 6.2157 Å, b = 7.1744 Å, c = 8.7916 Å
α = 90.02°, β = 90.05°, γ = 90.10°
With the nearest neighbours (Å) after each atom.
Element x y z (fractional)
Pm  0.1687  0.9998  0.1708  5 Tm 3.55-3.59, 4 Pm 3.58-3.66, 3 Nd 3.59-3.62
Pm  0.3308  0.2502  0.8323  5 Tm 3.57-3.62, 4 Nd 3.58-3.62, 3 Pm 3.58-3.62
Pm  0.6692  0.7498  0.1677  5 Tm 3.57-3.62, 4 Nd 3.58-3.62, 3 Pm 3.58-3.62
Pm  0.8313  0.0002  0.8292  5 Tm 3.55-3.59, 4 Pm 3.58-3.66, 3 Nd 3.59-3.62
Nd  0.3314  0.7491  0.8325  5 Tm 3.56-3.62, 6 Pm 3.58-3.62, 1 Nd 3.58
Nd  0.5000  0.5000  0.5000  8 Tm 3.57-3.59, 2 Nd 3.58, 2 Pm 3.59
Nd  0.6686  0.2509  0.1675  5 Tm 3.56-3.62, 6 Pm 3.58-3.62, 1 Nd 3.58
Tm  0.0005  0.2510  0.5002  6 Tm 3.56-3.60, 3 Pm 3.57, 3 Nd 3.58-3.59
Tm  0.9995  0.7490  0.4998  6 Tm 3.56-3.60, 3 Pm 3.57, 3 Nd 3.58-3.59
Tm  0.1651  0.5002  0.1704  3 Tm 3.56-3.63, 4 Nd 3.56-3.62, 5 Pm 3.57-3.62
Tm  0.5000  0.0000  0.5000  4 Pm 3.55-3.59, 4 Nd 3.59, 4 Tm 3.59
Tm  0.8349  0.4998  0.8296  3 Tm 3.56-3.63, 4 Nd 3.56-3.62, 5 Pm 3.57-3.62

Values from the calculation:
space group = No. 2
magnetization = 0.000 μB per cell
E above lowest polymorph = 0 meV per atom
formation enthalpy at 0 K = 0.02 eV per atom
uncorrected energy = -55.4 eV per formula unit



[4]
Material: Ce5YIr5
Method: DFT, PBE
State: relaxed

a = 6.9418 Å, b = 6.9418 Å, c = 8.1165 Å
α = 107.00°, β = 107.00°, γ = 48.35°
With the nearest neighbours (Å) after each atom.
Element x y z (fractional)
Ce  0.0000  0.0000  0.0000  4 Ir 2.76-2.83
Ce  0.3291  0.3291  0.1718  5 Ir 2.76-2.85
Ce  0.3290  0.3290  0.6569  5 Ir 2.84-2.88
Ce  0.6710  0.6710  0.3431  5 Ir 2.84-2.88
Ce  0.6709  0.6709  0.8282  5 Ir 2.76-2.85
Y  0.0000  0.0000  0.5000  6 Ir 2.84-2.92
Ir  0.1620  0.1620  0.3222  5 Ce 2.76-2.86, 1 Y 2.86
Ir  0.1695  0.1695  0.8430  5 Ce 2.78-2.88, 1 Y 2.92
Ir  0.5000  0.5000  0.5000  2 Y 2.84, 4 Ce 2.84
Ir  0.8305  0.8305  0.1570  5 Ce 2.78-2.88, 1 Y 2.92
Ir  0.8380  0.8380  0.6778  5 Ce 2.76-2.86, 1 Y 2.86

Values from the calculation:
space group = No. 12
magnetization = 1.461 μB per cell
formation enthalpy at 0 K = -0.64 eV per atom
uncorrected energy = -87.5 eV per formula unit



[5]
Material: ZnRePt3
Method: DFT, PBE
State: relaxed

a = 4.8419 Å, b = 4.8419 Å, c = 4.8419 Å
α = 90.00°, β = 90.00°, γ = 90.00°
With the nearest neighbours (Å) after each atom.
Element x y z (fractional)
Zn  0.0000  0.0000  0.0000  12 Pt 3.42
Re  0.5000  0.5000  0.5000  6 Pt 2.42
Pt  0.0000  0.5000  0.5000  2 Re 2.42
Pt  0.5000  0.0000  0.5000  2 Re 2.42
Pt  0.5000  0.5000  0.0000  2 Re 2.42

Values from the calculation:
space group = No. 221
magnetization = 0.000 μB per cell
E above lowest polymorph = 0 meV per atom
formation enthalpy at 0 K = 1.20 eV per atom
uncorrected energy = -25.8 eV per formula unit



[6]
Material: MgReTc2
Method: DFT, PBE
State: relaxed

a = 7.2932 Å, b = 7.2932 Å, c = 5.3609 Å
α = 90.00°, β = 90.00°, γ = 90.00°
With the nearest neighbours (Å) after each atom.
Element x y z (fractional)
Mg  0.0000  0.0000  0.0000  2 Re 2.68, 4 Tc 2.93
Mg  0.0000  0.5000  0.2500  2 Re 2.68, 4 Tc 2.93
Mg  0.5000  0.0000  0.7500  2 Re 2.68, 4 Tc 2.93
Mg  0.5000  0.5000  0.5000  2 Re 2.68, 4 Tc 2.93
Re  0.0000  0.0000  0.5000  4 Tc 2.42, 2 Mg 2.68
Re  0.0000  0.5000  0.7500  4 Tc 2.42, 2 Mg 2.68
Re  0.5000  0.0000  0.2500  4 Tc 2.42, 2 Mg 2.68
Re  0.5000  0.5000  0.0000  4 Tc 2.42, 2 Mg 2.68
Tc  0.1983  0.2500  0.6250  2 Re 2.42
Tc  0.2500  0.6983  0.8750  2 Re 2.42
Tc  0.2500  0.8017  0.3750  2 Re 2.42
Tc  0.3017  0.2500  0.1250  2 Re 2.42
Tc  0.6983  0.7500  0.1250  2 Re 2.42
Tc  0.7500  0.1983  0.3750  2 Re 2.42
Tc  0.7500  0.3017  0.8750  2 Re 2.42
Tc  0.8017  0.7500  0.6250  2 Re 2.42

Values from the calculation:
space group = No. 122
magnetization = 0.000 μB per cell
formation enthalpy at 0 K = 0.70 eV per atom
uncorrected energy = -32.0 eV per formula unit



[7]
Material: La3NdY6
Method: DFT, PBE
State: relaxed

a = 10.0917 Å, b = 10.0917 Å, c = 6.9002 Å
α = 90.00°, β = 90.00°, γ = 93.23°
With the nearest neighbours (Å) after each atom.
Element x y z (fractional)
La  0.1071  0.8929  0.5000  1 Nd 3.22, 3 Y 3.42
La  0.2600  0.3374  0.2256  5 Y 3.28-3.58, 2 La 3.63
La  0.3374  0.2600  0.7256  5 Y 3.28-3.58, 2 La 3.63
La  0.6626  0.7400  0.2256  5 Y 3.28-3.58, 2 La 3.63
La  0.7400  0.6626  0.7256  5 Y 3.28-3.58, 2 La 3.63
La  0.8929  0.1071  0.0000  1 Nd 3.22, 3 Y 3.42
Nd  0.3107  0.6893  0.6757  4 Y 3.20-3.50, 1 La 3.22
Nd  0.6893  0.3107  0.1757  4 Y 3.20-3.50, 1 La 3.22
Y  0.0182  0.2150  0.5015  4 Y 3.23-3.58, 3 La 3.28-3.58
Y  0.0290  0.4495  0.8913  4 La 3.51-3.92, 5 Y 3.53-3.78, 1 Nd 3.92
Y  0.2150  0.0182  0.0015  4 Y 3.23-3.58, 3 La 3.28-3.58
Y  0.2851  0.7149  0.1804  3 Y 3.37-3.41, 1 La 3.42, 2 Nd 3.44-3.50
Y  0.4495  0.0290  0.3913  4 La 3.51-3.92, 5 Y 3.53-3.78, 1 Nd 3.92
Y  0.4873  0.5127  0.9489  2 Nd 3.20-3.35, 4 La 3.28-3.40, 3 Y 3.37-3.47
Y  0.5127  0.4873  0.4489  2 Nd 3.20-3.35, 4 La 3.28-3.40, 3 Y 3.37-3.47
Y  0.5505  0.9710  0.8913  4 La 3.51-3.92, 5 Y 3.53-3.78, 1 Nd 3.92
Y  0.7149  0.2851  0.6804  3 Y 3.37-3.41, 1 La 3.42, 2 Nd 3.44-3.50
Y  0.7850  0.9818  0.5015  4 Y 3.23-3.58, 3 La 3.28-3.58
Y  0.9710  0.5505  0.3913  4 La 3.51-3.92, 5 Y 3.53-3.78, 1 Nd 3.92
Y  0.9818  0.7850  0.0015  4 Y 3.23-3.58, 3 La 3.28-3.58

Values from the calculation:
space group = No. 36
magnetization = 0.000 μB per cell
E above lowest polymorph = 0 meV per atom
formation enthalpy at 0 K = 0.21 eV per atom
uncorrected energy = -56.2 eV per formula unit



[8]
Material: CaAgSb2I
Method: DFT, PBE
State: relaxed

a = 5.3126 Å, b = 5.3126 Å, c = 6.0743 Å
α = 90.00°, β = 90.00°, γ = 90.00°
With the nearest neighbours (Å) after each atom.
Element x y z (fractional)
Ca  0.0000  0.0000  0.0000  4 I 3.76, 8 Sb 4.03
Ag  0.5000  0.5000  0.5000  4 Sb 2.66
Sb  0.0000  0.5000  0.5000  2 Ag 2.66
Sb  0.5000  0.0000  0.5000  2 Ag 2.66
I  0.5000  0.5000  0.0000  2 Ag 3.04

Values from the calculation:
E_form (uncorrected) = 58 meV/atom
space group = No. 123
magnetization = 0.000 μB per cell
E above lowest polymorph = 0 meV per atom
uncorrected energy = -14.4 eV per formula unit